No. 1
# CaZnIn2 PBE-GGA relaxed
# Magnetization, Bohr magnetons per cell: 0.00
# Calculated total energy, eV per atom: -2.470
# Formation energy, meV/atom: -281.6
# Crystal system: orthorhombic
data_CaZnIn2
_cell_length_a 7.1849
_cell_length_b 4.8456
_cell_length_c 11.2625
_cell_angle_alpha 90.00
_cell_angle_beta 90.00
_cell_angle_gamma 90.00
_symmetry_space_group_name_H-M 'A m m 2'
_symmetry_Int_Tables_number 38
_symmetry_space_group_name_Hall 'A 2 -2'
loop_
_atom_site_label
_atom_site_type_symbol
_atom_site_fract_x
_atom_site_fract_y
_atom_site_fract_z
Ca1 Ca 0.0000 0.0000 0.0000
Ca2 Ca 0.5000 0.0000 0.1844
Zn1 Zn 0.1871 0.0000 0.7233
In1 In 0.0000 0.0000 0.2896
In2 In 0.2927 0.0000 0.4885
In3 In 0.5000 0.0000 0.8833

---

No. 2
# U2TaSi2Ru5 PBE-GGA relaxed
# Magnetization, Bohr magnetons per cell: 9.43
# Calculated total energy, eV per atom: -9.580
# Crystal system: tetragonal
data_U2TaSi2Ru5
_cell_length_a 10.2145
_cell_length_b 10.2145
_cell_length_c 3.1609
_cell_angle_alpha 90.00
_cell_angle_beta 90.00
_cell_angle_gamma 90.00
_symmetry_space_group_name_H-M 'P 4/m b m'
_symmetry_Int_Tables_number 127
_symmetry_space_group_name_Hall '-P 4 2ab'
loop_
_atom_site_label
_atom_site_type_symbol
_atom_site_fract_x
_atom_site_fract_y
_atom_site_fract_z
U1 U 0.1744 0.3256 0.0000
Ta1 Ta 0.0000 0.0000 0.0000
Si1 Si 0.1260 0.6260 0.0000
Ru1 Ru 0.0000 0.5000 0.5000
Ru2 Ru 0.0638 0.7929 0.5000

---

No. 3
# TmMg2Zn6 PBE-GGA relaxed
# Magnetization, Bohr magnetons per cell: 0.00
# Calculated total energy, eV per atom: -1.866
# Formation energy, meV/atom: -165.5
# E above lowest polymorph, meV per atom: 0
# Crystal system: hexagonal
data_TmMg2Zn6
_cell_length_a 7.7313
_cell_length_b 7.7313
_cell_length_c 3.1581
_cell_angle_alpha 90.00
_cell_angle_beta 90.00
_cell_angle_gamma 120.00
_symmetry_space_group_name_H-M 'P 6/m m m'
_symmetry_Int_Tables_number 191
_symmetry_space_group_name_Hall '-P 6 2'
loop_
_atom_site_label
_atom_site_type_symbol
_atom_site_fract_x
_atom_site_fract_y
_atom_site_fract_z
Tm1 Tm 0.0000 0.0000 0.0000
Mg1 Mg 0.3333 0.6667 0.0000
Zn1 Zn 0.0000 0.3364 0.5000

---

Please write out number 2 again, unchanged.
# U2TaSi2Ru5 PBE-GGA relaxed
# Magnetization, Bohr magnetons per cell: 9.43
# Calculated total energy, eV per atom: -9.580
# Crystal system: tetragonal
data_U2TaSi2Ru5
_cell_length_a 10.2145
_cell_length_b 10.2145
_cell_length_c 3.1609
_cell_angle_alpha 90.00
_cell_angle_beta 90.00
_cell_angle_gamma 90.00
_symmetry_space_group_name_H-M 'P 4/m b m'
_symmetry_Int_Tables_number 127
_symmetry_space_group_name_Hall '-P 4 2ab'
loop_
_atom_site_label
_atom_site_type_symbol
_atom_site_fract_x
_atom_site_fract_y
_atom_site_fract_z
U1 U 0.1744 0.3256 0.0000
Ta1 Ta 0.0000 0.0000 0.0000
Si1 Si 0.1260 0.6260 0.0000
Ru1 Ru 0.0000 0.5000 0.5000
Ru2 Ru 0.0638 0.7929 0.5000